# InSn3Rh GGA-PBE relaxed
data_InSn3Rh
_chemical_formula_sum 'In1 Sn3 Rh1'
_space_group_name_H-M_alt 'P m -3 m'
_space_group_IT_number 221
_space_group_name_Hall '-P 4 2 3'
_cell_length_a 5.1833
_cell_length_b 5.1833
_cell_length_c 5.1833
_cell_angle_alpha 90.00
_cell_angle_beta 90.00
_cell_angle_gamma 90.00
loop_
_atom_site_label
_atom_site_type_symbol
_atom_site_fract_x
_atom_site_fract_y
_atom_site_fract_z
_atom_site_occupancy
In1 In 0.0000 0.0000 0.0000 1
Sn1 Sn 0.0000 0.5000 0.5000 1
Rh1 Rh 0.5000 0.5000 0.5000 1
# mass density	6.8	Mg/m³
# energy above the most stable polymorph in this dataset	0.202	eV per atom
# formation energy	-0.02	eV per formula unit

---

# LaScAsO2 GGA-PBE relaxed
data_LaScAsO2
_chemical_formula_sum 'La4 Sc4 As4 O8'
_space_group_name_H-M_alt 'C m c m'
_space_group_IT_number 63
_space_group_name_Hall '-C 2c 2'
_cell_length_a 5.4111
_cell_length_b 12.9180
_cell_length_c 5.3470
_cell_angle_alpha 90.00
_cell_angle_beta 90.00
_cell_angle_gamma 90.00
loop_
_atom_site_label
_atom_site_type_symbol
_atom_site_fract_x
_atom_site_fract_y
_atom_site_fract_z
_atom_site_occupancy
La1 La 0.0000 0.1057 0.2500 1
Sc1 Sc 0.0000 0.4300 0.2500 1
As1 As 0.0000 0.2499 0.7500 1
O1 O 0.2379 0.5000 0.0000 1
# mass density	5.2	Mg/m³
# ΔE_f (raw)	-2.60	eV per atom

---

# GdTmSiPd GGA-PBE relaxed
data_GdTmSiPd
_chemical_formula_sum 'Gd4 Tm4 Si4 Pd4'
_space_group_name_H-M_alt 'F -4 3 m'
_space_group_IT_number 216
_space_group_name_Hall 'F -4 2 3'
_cell_length_a 7.0163
_cell_length_b 7.0163
_cell_length_c 7.0163
_cell_angle_alpha 90.00
_cell_angle_beta 90.00
_cell_angle_gamma 90.00
loop_
_atom_site_label
_atom_site_type_symbol
_atom_site_fract_x
_atom_site_fract_y
_atom_site_fract_z
_atom_site_occupancy
Gd1 Gd 0.0000 0.0000 0.0000 1
Tm1 Tm 0.0000 0.0000 0.5000 1
Si1 Si 0.2500 0.2500 0.7500 1
Pd1 Pd 0.2500 0.2500 0.2500 1
# mass density	8.9	Mg/m³
# ΔE_f (raw)	-0.73	eV per atom

---

- Among the records above, which one has the highest mass density?
  GdTmSiPd